Crystalline CuNi2AsO6 at its relaxed geometry, computed with PBE+U.

```
10
Lattice="4.897 0.000 0.000 2.336 4.520 0.000 0.068 2.563 4.551" Properties=species:S:1:pos:R:3 pbc="T T T"
Cu 0.000 0.000 0.000
Ni 2.385 4.196 2.722
Ni 4.841 2.851 0.561
As 4.802 5.770 2.349
O 0.861 1.149 1.382
O 1.697 2.486 3.596
O 3.117 2.697 1.530
O 4.203 4.430 3.483
O 5.751 4.460 1.378
O 6.313 5.708 3.656
```

Values from the calculation:
**M_tot**: 4.03 μB/f.u.
**D(E_F)**: 2.2 states/eV per cell
**Total energy**: -5.273 eV/atom